A plane-wave DFT calculation with PBE was carried out for crystalline CdPb2Au at its relaxed geometry.

Properties
space group: R-3m
ΔE_f: 12.6 meV/atom
E: -11.56 eV for the cell shown

Lattice parameters (Å, degrees): 8.6099 8.6099 8.6099 26.56 26.56 26.56
Last column: nearest neighbours and their distance in Å.
Positions (direct):
Pb (0.9909, 0.9909, 0.9909)  3 Au 2.94, 3 Cd 3.24
Pb (0.5091, 0.5091, 0.5091)  3 Au 2.94, 3 Cd 3.24
Au (0.2500, 0.2500, 0.2500)  6 Pb 2.94
Cd (0.7500, 0.7500, 0.7500)  6 Pb 3.24

A plane-wave DFT calculation with PBE was carried out for crystalline Pm12FeGe6 at its relaxed geometry.

Properties
space group: R-3
ΔE_f: -438.7 meV/atom
E: -101.51 eV for the cell shown

Lattice parameters (Å, degrees): 8.4658 8.4658 8.4658 99.21 99.21 99.21
Last column: nearest neighbours and their distance in Å.
Positions (direct):
Pm (0.8126, 0.5722, 0.4311)  4 Ge 2.96-3.17
Pm (0.4311, 0.8126, 0.5722)  4 Ge 2.96-3.17
Pm (0.5722, 0.4311, 0.8126)  4 Ge 2.96-3.17
Pm (0.1874, 0.4278, 0.5689)  4 Ge 2.96-3.17
Pm (0.5689, 0.1874, 0.4278)  4 Ge 2.96-3.17
Pm (0.4278, 0.5689, 0.1874)  4 Ge 2.96-3.17
Pm (0.0623, 0.9672, 0.3140)  1 Fe 2.69, 1 Ge 3.01
Pm (0.0328, 0.6860, 0.9377)  1 Fe 2.69, 1 Ge 3.01
Pm (0.6860, 0.9377, 0.0328)  1 Fe 2.69, 1 Ge 3.01
Pm (0.9377, 0.0328, 0.6860)  1 Fe 2.69, 1 Ge 3.01
Pm (0.9672, 0.3140, 0.0623)  1 Fe 2.69, 1 Ge 3.01
Pm (0.3140, 0.0623, 0.9672)  1 Fe 2.69, 1 Ge 3.01
Fe (0.0000, 0.0000, 0.0000)  6 Pm 2.69
Ge (0.6971, 0.8738, 0.3743)  7 Pm 2.96-3.21
Ge (0.6257, 0.3029, 0.1262)  7 Pm 2.96-3.21
Ge (0.1262, 0.6257, 0.3029)  7 Pm 2.96-3.21
Ge (0.3029, 0.1262, 0.6257)  7 Pm 2.96-3.21
Ge (0.3743, 0.6971, 0.8738)  7 Pm 2.96-3.21
Ge (0.8738, 0.3743, 0.6971)  7 Pm 2.96-3.21

A plane-wave DFT calculation with PBE was carried out for crystalline PrSm at its relaxed geometry.

Properties
space group: Fm-3m
ΔE_f: 627.7 meV/atom
E: -8.24 eV for the cell shown
energy above the most stable polymorph in this dataset: 0.596 eV per atom

Lattice parameters (Å, degrees): 4.6555 4.6555 4.6555 60.00 60.00 60.00
Last column: nearest neighbours and their distance in Å.
Positions (direct):
Pr (0.0000, 0.0000, 0.0000)  6 Sm 3.29
Sm (0.5000, 0.5000, 0.5000)  6 Pr 3.29

A plane-wave DFT calculation with PBE was carried out for crystalline LiNb2W at its relaxed geometry.

Properties
space group: I-42d
ΔE_f: 762.0 meV/atom
E: -63.92 eV for the cell shown
energy above the most stable polymorph in this dataset: 0.524 eV per atom

Lattice parameters (Å, degrees): 7.0891 7.0891 5.7059 51.60 51.60 90.00
Last column: nearest neighbours and their distance in Å.
Positions (direct):
Nb (0.6137, 0.1250, 0.2500)  2 Li 2.54, 2 W 2.65, 2 Nb 2.73
Nb (0.1363, 0.6250, 0.2500)  2 Li 2.54, 2 W 2.65, 2 Nb 2.73
Nb (0.3750, 0.3863, 0.7500)  2 Li 2.54, 2 W 2.65, 2 Nb 2.73
Nb (0.8750, 0.8637, 0.7500)  2 Li 2.54, 2 W 2.65, 2 Nb 2.73
W (0.0000, 0.0000, 0.0000)  4 Nb 2.65, 2 Li 2.73
W (0.7500, 0.2500, 0.5000)  4 Nb 2.65, 2 Li 2.73
Li (0.5000, 0.5000, 0.0000)  4 Nb 2.54, 2 W 2.73
Li (0.2500, 0.7500, 0.5000)  4 Nb 2.54, 2 W 2.73

A plane-wave DFT calculation with PBE was carried out for crystalline MnCdSbS4 at its relaxed geometry.

Properties
uncorrected formation energy: -0.405 eV/atom
space group: Imma
E: -67.11 eV for the cell shown

Lattice parameters (Å, degrees): 7.6042 7.6717 7.6717 60.55 60.29 60.29
Last column: nearest neighbours and their distance in Å.
Positions (direct):
Mn (0.5000, 0.0000, 0.5000)  6 S 2.43-2.52
Mn (0.0000, 0.0000, 0.5000)  6 S 2.43-2.52
Cd (0.6336, 0.6164, 0.1164)  4 S 2.56-2.59
Cd (0.3664, 0.3836, 0.8836)  4 S 2.56-2.59
Sb (0.0000, 0.0000, 0.0000)  6 S 2.71
Sb (0.0000, 0.5000, 0.5000)  6 S 2.71
S (0.7513, 0.7853, 0.7120)  2 Mn 2.52, 1 Cd 2.56, 1 Sb 2.71
S (0.2487, 0.7880, 0.7147)  2 Mn 2.52, 1 Cd 2.56, 1 Sb 2.71
S (0.7513, 0.2120, 0.2853)  2 Mn 2.52, 1 Cd 2.56, 1 Sb 2.71
S (0.2487, 0.2147, 0.2880)  2 Mn 2.52, 1 Cd 2.56, 1 Sb 2.71
S (0.2212, 0.7760, 0.2760)  1 Mn 2.43, 1 Cd 2.59, 2 Sb 2.71
S (0.7267, 0.7760, 0.2760)  1 Mn 2.43, 1 Cd 2.59, 2 Sb 2.71
S (0.2733, 0.2240, 0.7240)  1 Mn 2.43, 1 Cd 2.59, 2 Sb 2.71
S (0.7788, 0.2240, 0.7240)  1 Mn 2.43, 1 Cd 2.59, 2 Sb 2.71

A plane-wave DFT calculation with PBE was carried out for crystalline Dy6CdAu at its relaxed geometry.

Properties
space group: P-1
ΔE_f: -183.9 meV/atom
E: -33.28 eV for the cell shown

Lattice parameters (Å, degrees): 8.3020 8.3083 6.0779 46.86 46.91 64.53
Last column: nearest neighbours and their distance in Å.
Positions (direct):
Dy (0.9746, 0.4429, 0.8271)  1 Au 3.01, 2 Dy 3.13
Dy (0.7556, 0.0254, 0.7763)  1 Au 3.00, 2 Dy 3.13
Dy (0.4433, 0.2446, 0.2867)  1 Au 3.01, 2 Dy 3.12-3.13
Dy (0.2444, 0.9746, 0.2237)  1 Au 3.00, 2 Dy 3.13
Dy (0.0254, 0.5571, 0.1729)  1 Au 3.01, 2 Dy 3.13
Dy (0.5567, 0.7554, 0.7133)  1 Au 3.01, 2 Dy 3.12-3.13
Cd (0.5000, 0.5000, 0.5000)  12 Dy 3.39-3.44
Au (0.0000, 0.0000, 0.0000)  6 Dy 3.00-3.01

A plane-wave DFT calculation with PBE was carried out for crystalline Tl2InIrBr at its relaxed geometry.

Properties
uncorrected formation energy: -0.296 eV/atom
space group: P4/mmm
E: -19.48 eV for the cell shown

Lattice parameters (Å, degrees): 5.3446 5.3446 5.2387 90.00 90.00 90.00
Last column: nearest neighbours and their distance in Å.
Positions (direct):
Tl (0.0000, 0.5000, 0.0000)  2 Ir 2.67
Tl (0.5000, 0.0000, 0.0000)  2 Ir 2.67
Ir (0.0000, 0.0000, 0.0000)  2 In 2.62, 4 Tl 2.67
Br (0.5000, 0.5000, 0.5000)  8 Tl 3.74, 4 In 3.78
In (0.0000, 0.0000, 0.5000)  2 Ir 2.62

A plane-wave DFT calculation with PBE was carried out for crystalline YAl3Zn2 at its relaxed geometry.

Properties
space group: C2/m
ΔE_f: -264.1 meV/atom
E: -43.65 eV for the cell shown

Lattice parameters (Å, degrees): 4.3329 6.7560 8.0947 105.55 105.52 90.00
Last column: nearest neighbours and their distance in Å.
Positions (direct):
Y (0.1167, 0.1836, 0.2334)  7 Al 3.05-3.26, 7 Zn 3.07-3.23
Y (0.8833, 0.8164, 0.7666)  7 Al 3.05-3.26, 7 Zn 3.07-3.23
Al (0.6976, 0.9240, 0.3953)  2 Zn 2.60-2.73, 3 Al 2.74-2.76
Al (0.0671, 0.6841, 0.1343)  3 Zn 2.57-2.69, 3 Al 2.73-2.77
Al (0.3785, 0.4963, 0.7569)  4 Zn 2.73-2.82, 3 Al 2.73-2.76, 2 Y 3.05
Al (0.6215, 0.5037, 0.2431)  4 Zn 2.73-2.82, 3 Al 2.73-2.76, 2 Y 3.05
Al (0.9329, 0.3159, 0.8657)  3 Zn 2.57-2.69, 3 Al 2.73-2.77
Al (0.3024, 0.0760, 0.6047)  2 Zn 2.60-2.73, 3 Al 2.74-2.76
Zn (0.5248, 0.8398, 0.0496)  1 Zn 2.49, 4 Al 2.57-2.77
Zn (0.4752, 0.1602, 0.9504)  1 Zn 2.49, 4 Al 2.57-2.77
Zn (0.2363, 0.6575, 0.4726)  7 Al 2.69-2.98
Zn (0.7637, 0.3425, 0.5274)  7 Al 2.69-2.98

Please write out number 2 again, unchanged.
A plane-wave DFT calculation with PBE was carried out for crystalline Pm12FeGe6 at its relaxed geometry.

Properties
space group: R-3
ΔE_f: -438.7 meV/atom
E: -101.51 eV for the cell shown

Lattice parameters (Å, degrees): 8.4658 8.4658 8.4658 99.21 99.21 99.21
Last column: nearest neighbours and their distance in Å.
Positions (direct):
Pm (0.8126, 0.5722, 0.4311)  4 Ge 2.96-3.17
Pm (0.4311, 0.8126, 0.5722)  4 Ge 2.96-3.17
Pm (0.5722, 0.4311, 0.8126)  4 Ge 2.96-3.17
Pm (0.1874, 0.4278, 0.5689)  4 Ge 2.96-3.17
Pm (0.5689, 0.1874, 0.4278)  4 Ge 2.96-3.17
Pm (0.4278, 0.5689, 0.1874)  4 Ge 2.96-3.17
Pm (0.0623, 0.9672, 0.3140)  1 Fe 2.69, 1 Ge 3.01
Pm (0.0328, 0.6860, 0.9377)  1 Fe 2.69, 1 Ge 3.01
Pm (0.6860, 0.9377, 0.0328)  1 Fe 2.69, 1 Ge 3.01
Pm (0.9377, 0.0328, 0.6860)  1 Fe 2.69, 1 Ge 3.01
Pm (0.9672, 0.3140, 0.0623)  1 Fe 2.69, 1 Ge 3.01
Pm (0.3140, 0.0623, 0.9672)  1 Fe 2.69, 1 Ge 3.01
Fe (0.0000, 0.0000, 0.0000)  6 Pm 2.69
Ge (0.6971, 0.8738, 0.3743)  7 Pm 2.96-3.21
Ge (0.6257, 0.3029, 0.1262)  7 Pm 2.96-3.21
Ge (0.1262, 0.6257, 0.3029)  7 Pm 2.96-3.21
Ge (0.3029, 0.1262, 0.6257)  7 Pm 2.96-3.21
Ge (0.3743, 0.6971, 0.8738)  7 Pm 2.96-3.21
Ge (0.8738, 0.3743, 0.6971)  7 Pm 2.96-3.21

Q: Number 2 is which compound?
A: Pm12FeGe6